Record 1
Material: SrAcHgAu
Method: DFT, PBE-GGA
State: optimized geometry

Unit cell a=3.9543 b=3.9543 c=7.9563 alpha=90.00 beta=90.00 gamma=90.00
Atoms (fractional coordinates):
Sr (0.0000, 0.0000, 0.0000)
Ac (0.0000, 0.0000, 0.4752)
Hg (0.5000, 0.5000, 0.7410)
Au (0.5000, 0.5000, 0.2543)

Results
* calculated formation energy: -0.64 eV/atom
* space group: P4mm, No. 99



Record 2
Material: CsTe2Pd2
Method: DFT, PBE-GGA
State: optimized geometry

Unit cell a=7.2099 b=7.2099 c=7.2099 alpha=137.65 beta=137.65 gamma=61.44
Atoms (fractional coordinates):
Cs (0.0000, 0.0000, 0.0000)
Te (0.2500, 0.7500, 0.5000)
Te (0.7500, 0.2500, 0.5000)
Pd (0.3105, 0.3105, 0.0000)
Pd (0.6895, 0.6895, 0.0000)

Results
* electronic total energy: -3.9970 eV per atom
* space group: I4/mmm, No. 139



What are the N(E_F) values for these records? In order: 0.680 0.304 states/eV per atom.